A geometry-optimized PrW2O8 structure, computed with PBE+U.

Computed properties:
energy above the lowest structure with this stoichiometry	393.4	meV/atom
space group	I4/mmm (139)
DFT total energy	-78.303	eV/cell
DOS(E_F)	0.266	states/eV/atom

Lattice parameters (Å, degrees): 4.8650 4.8650 6.7629 111.08 111.08 90.00
Last column: nearest neighbours and their distance in Å.
Sites, in units of the cell vectors:
W: 0.7500 0.2500 0.5000  8 O 2.08
Pr: 0.5000 0.5000 0.0000  8 O 2.45
O: 0.8995 0.4000 0.2996  2 W 2.08
O: 0.6000 0.1005 0.7004  2 W 2.08
O: 0.4001 0.8996 0.2996  2 W 2.08
W: 0.2500 0.7500 0.5000  8 O 2.08
O: 0.1004 0.5999 0.7004  2 W 2.08
O: 0.5999 0.6000 0.7004  2 W 2.08
O: 0.4000 0.4001 0.2996  2 W 2.08
O: 0.8996 0.8995 0.2996  2 W 2.08
O: 0.1005 0.1004 0.7004  2 W 2.08